Entry 1:
The following is a PBE-GGA calculation of a geometry-optimized TlPO2 structure, from Alexandria via LeMat-Bulk.

E_form (uncorrected) (meV/atom): 382
Crystal system: cubic
Volume (Å³/f.u.): 53

Cell: 4.218 4.218 4.218 Å, 60.00 60.00 60.00°
Sites, in units of the cell vectors:
1 P 0.000 0.000 0.000
2 Tl 0.500 0.500 0.500
3 O 0.250 0.250 0.250
4 O 0.750 0.750 0.750

Entry 2:
The following is a PBE-GGA calculation of a geometry-optimized TlAsSe2 structure, from Alexandria via LeMat-Bulk.

E_form (uncorrected) (meV/atom): -250
Crystal system: monoclinic
Volume (Å³/f.u.): 120

Cell: 6.459 12.299 24.590 Å, 90.00 90.00 101.00°
Sites, in units of the cell vectors:
1 Tl 0.472 0.123 0.424
2 Tl 0.028 0.377 0.924
3 Tl 0.528 0.877 0.576
4 Tl 0.972 0.623 0.076
5 Tl 0.025 0.390 0.435
6 Tl 0.475 0.110 0.935
7 Tl 0.975 0.610 0.565
8 Tl 0.525 0.890 0.065
9 Tl 0.677 0.496 0.327
10 Tl 0.823 0.004 0.827
11 Tl 0.323 0.504 0.673
12 Tl 0.177 0.996 0.173
13 Tl 0.217 0.771 0.319
14 Tl 0.283 0.729 0.819
15 Tl 0.783 0.229 0.681
16 Tl 0.717 0.271 0.181
17 As 0.967 0.892 0.447
18 As 0.614 0.754 0.190
19 As 0.886 0.746 0.690
20 As 0.386 0.246 0.810
21 As 0.114 0.254 0.310
22 As 0.719 0.997 0.290
23 As 0.781 0.503 0.790
24 As 0.281 0.003 0.710
25 As 0.219 0.497 0.210
26 As 0.533 0.608 0.947
27 As 0.033 0.108 0.553
28 As 0.467 0.392 0.053
29 As 0.555 0.642 0.450
30 As 0.945 0.858 0.950
31 As 0.445 0.358 0.550
32 As 0.055 0.142 0.050
33 Se 0.237 0.739 0.190
34 Se 0.825 0.484 0.694
35 Se 0.325 0.984 0.806
36 Se 0.175 0.516 0.306
37 Se 0.606 0.547 0.195
38 Se 0.894 0.953 0.695
39 Se 0.394 0.453 0.805
40 Se 0.963 0.110 0.456
41 Se 0.106 0.047 0.305
42 Se 0.217 0.286 0.214
43 Se 0.283 0.214 0.714
44 Se 0.783 0.714 0.786
45 Se 0.717 0.786 0.286
46 Se 0.737 0.239 0.310
47 Se 0.763 0.261 0.810
48 Se 0.263 0.761 0.690
49 Se 0.440 0.161 0.060
50 Se 0.060 0.339 0.560
51 Se 0.560 0.839 0.940
52 Se 0.940 0.661 0.440
53 Se 0.080 0.350 0.061
54 Se 0.420 0.150 0.561
55 Se 0.920 0.650 0.939
56 Se 0.580 0.850 0.439
57 Se 0.022 0.875 0.045
58 Se 0.478 0.625 0.545
59 Se 0.978 0.125 0.955
60 Se 0.522 0.375 0.455
61 Se 0.463 0.610 0.044
62 Se 0.037 0.890 0.544
63 Se 0.537 0.390 0.956
64 Se 0.675 0.016 0.194

Entry 3:
The following is a PBE-GGA calculation of a geometry-optimized Sr2CeS2O2 structure, from Alexandria via LeMat-Bulk.

E_form (uncorrected) (meV/atom): -2575
Crystal system: tetragonal
Volume (Å³/f.u.): 155

Cell: 4.369 4.369 8.677 Å, 104.58 104.58 90.00°
Sites, in units of the cell vectors:
1 Sr 0.356 0.356 0.711
2 Sr 0.644 0.644 0.289
3 Ce 0.000 0.000 0.000
4 S 0.172 0.172 0.344
5 S 0.828 0.828 0.656
6 O 0.000 0.500 0.000
7 O 0.500 0.000 0.000

Which calculated density belongs to each record? In order, 8364 6058 4414 kg/m3.